Computed, not measured: a relaxed structure of BeSe at the PBE level of DFT.

## Properties
Total moment, μB per formula unit: 0.000
D(E_F), states/eV per cell: 4.50

Lattice parameters (Å, degrees): 5.119 5.119 6.280 90.00 90.00 120.00
Fractional positions:
Se (0.333, 0.667, 0.750)
Se (0.000, 0.000, 0.250)
Se (0.667, 0.333, 0.250)
Se (0.000, 0.000, 0.750)
Be (0.667, 0.333, 0.908)
Be (0.667, 0.333, 0.592)
Be (0.333, 0.667, 0.408)
Be (0.333, 0.667, 0.092)



Computed, not measured: a relaxed structure of BeSe at the PBE level of DFT.

## Properties
Total moment, μB per formula unit: 0.000
D(E_F), states/eV per cell: 0.00

Lattice parameters (Å, degrees): 6.528 6.718 7.378 90.00 90.00 90.00
Fractional positions:
Se (0.170, 0.596, 0.290)
Se (0.308, 0.108, 0.446)
Se (0.192, 0.892, 0.946)
Se (0.830, 0.096, 0.210)
Se (0.808, 0.392, 0.554)
Se (0.692, 0.608, 0.054)
Se (0.330, 0.404, 0.790)
Se (0.670, 0.904, 0.710)
Be (0.128, 0.934, 0.247)
Be (0.157, 0.391, 0.531)
Be (0.628, 0.566, 0.753)
Be (0.872, 0.434, 0.253)
Be (0.372, 0.066, 0.747)
Be (0.843, 0.891, 0.969)
Be (0.343, 0.609, 0.031)
Be (0.657, 0.109, 0.469)



Computed, not measured: a relaxed structure of BeSe at the PBE level of DFT.

## Properties
Total moment, μB per formula unit: 0.000
D(E_F), states/eV per cell: 0.00

Lattice parameters (Å, degrees): 9.792 9.792 3.662 90.00 90.00 90.00
Fractional positions:
Se (0.672, 0.089, 0.000)
Se (0.328, 0.911, 0.000)
Se (0.089, 0.328, 0.000)
Se (0.236, 0.603, 0.500)
Se (0.603, 0.764, 0.500)
Se (0.397, 0.236, 0.500)
Se (0.764, 0.397, 0.500)
Se (0.911, 0.672, 0.000)
Be (0.434, 0.113, 0.000)
Be (0.373, 0.786, 0.500)
Be (0.627, 0.214, 0.500)
Be (0.113, 0.566, 0.000)
Be (0.566, 0.887, 0.000)
Be (0.786, 0.627, 0.500)
Be (0.887, 0.434, 0.000)
Be (0.214, 0.373, 0.500)



Computed, not measured: a relaxed structure of BeSe2 at the PBE level of DFT.

## Properties
Total moment, μB per formula unit: 0.000
D(E_F), states/eV per cell: 2.13

Lattice parameters (Å, degrees): 4.298 4.298 4.298 60.00 60.00 60.00
Fractional positions:
Se (0.250, 0.250, 0.250)
Se (0.750, 0.750, 0.750)
Be (0.000, 0.000, 0.000)



Computed, not measured: a relaxed structure of Be3Se at the PBE level of DFT.

## Properties
Total moment, μB per formula unit: 0.000
D(E_F), states/eV per cell: 3.64

Lattice parameters (Å, degrees): 4.559 4.559 4.559 90.00 90.00 90.00
Fractional positions:
Se (0.500, 0.500, 0.500)
Se (0.000, 0.000, 0.000)
Be (0.500, 0.000, 0.250)
Be (0.500, 0.000, 0.750)
Be (0.750, 0.500, 0.000)
Be (0.250, 0.500, 0.000)
Be (0.000, 0.250, 0.500)
Be (0.000, 0.750, 0.500)



Computed, not measured: a relaxed structure of BeSe at the PBE level of DFT.

## Properties
Total moment, μB per formula unit: 0.000
D(E_F), states/eV per cell: 0.67

Lattice parameters (Å, degrees): 9.653 9.649 9.653 160.50 160.50 27.72
Fractional positions:
Se (0.750, 0.250, 0.500)
Se (0.500, 0.500, 0.000)
Be (0.250, 0.750, 0.500)
Be (0.000, 0.000, 0.000)



Electronic total energy readings, ordered: -2.8756; -4.2181; -4.2914; -3.3185; -3.0020; -3.6055 eV per atom
Raw formation energy readings, ordered: 0.730; -0.613; -0.686; 0.247; 0.664; 0.000 eV per atom
ΔE to the lowest computed polymorph readings, ordered: 148.0; 18.5; 11.4; 59.4; 59.0; 77.6 kJ per mole of atoms